Below is a relaxed H6Rh2Pb crystal, with properties calculated at the PBE-GGA level.

POSCAR file:
```
H6Rh2Pb
1.0
4.697 0.000 0.000
0.000 4.370 -2.523
0.000 0.000 5.046
H Rh Pb
6 2 1
direct
0.276 0.500 0.000
0.276 0.500 0.500
0.276 0.000 0.500
0.724 0.500 0.000
0.724 0.500 0.500
0.724 0.000 0.500
0.500 0.333 0.667
0.500 0.667 0.333
0.500 0.000 0.000
```

## Properties
E = -36.98 eV/cell
size of the total moment = 0.000 μB per atom

=====

Below is a relaxed Cs3Pm2ThTe6 crystal, with properties calculated at the PBE-GGA level.

POSCAR file:
```
Cs3Pm2ThTe6
1.0
7.978 -0.001 0.000
-3.987 6.910 0.000
-1.330 -2.303 9.011
Cs Pm Th Te
3 2 1 6
direct
0.168 0.832 0.500
0.832 0.168 0.500
0.500 0.500 0.500
0.334 0.666 0.000
0.666 0.334 0.000
0.000 0.000 0.000
0.935 0.604 0.804
0.735 0.735 0.197
0.065 0.396 0.196
0.604 0.935 0.804
0.265 0.265 0.803
0.396 0.065 0.196
```

## Properties
size of the total moment = 0.000 μB per atom
raw formation energy = -1.335 eV/atom